[1]
DFT (PBE-GGA) results for a relaxed PrScAlGa crystal.

Calculated values
Formation enthalpy at 0 K ... -0.434 eV/atom
Volume ... 22.740 A^3/atom

a b c (Å): 5.0480 5.0480 5.0480
angles (deg): 60.00 60.00 60.00
Closest atoms and distances in Å follow each position.
Atoms (fractional coordinates):
Ga (0.2500, 0.2500, 0.2500)  4 Pr 3.09, 4 Sc 3.09
Al (0.7500, 0.7500, 0.7500)  4 Sc 3.09, 4 Pr 3.09
Pr (0.0000, 0.0000, 0.0000)  4 Al 3.09, 4 Ga 3.09
Sc (0.5000, 0.5000, 0.5000)  4 Al 3.09, 4 Ga 3.09

[2]
DFT (PBE-GGA) results for a relaxed AlHg3Pd12 crystal.

Calculated values
Formation enthalpy at 0 K ... -0.226 eV/atom
Volume ... 16.211 A^3/atom

a b c (Å): 4.0121 4.0121 16.1139
angles (deg): 90.00 90.00 90.00
Closest atoms and distances in Å follow each position.
Atoms (fractional coordinates):
Pd (0.5000, 0.5000, 0.2434)  4 Hg 2.84, 8 Pd 2.89
Pd (0.0000, 0.5000, 0.3721)  8 Pd 2.84-2.89, 4 Hg 2.88
Pd (0.5000, 0.0000, 0.6279)  8 Pd 2.84-2.89, 4 Hg 2.88
Pd (0.5000, 0.5000, 0.7566)  4 Hg 2.84, 8 Pd 2.89
Pd (0.0000, 0.5000, 0.1143)  2 Al 2.72, 8 Pd 2.72-2.89, 2 Hg 2.90
Pd (0.5000, 0.0000, 0.1143)  2 Al 2.72, 8 Pd 2.72-2.89, 2 Hg 2.90
Pd (0.0000, 0.5000, 0.8857)  2 Al 2.72, 8 Pd 2.72-2.89, 2 Hg 2.90
Pd (0.5000, 0.0000, 0.3721)  8 Pd 2.84-2.89, 4 Hg 2.88
Pd (0.5000, 0.5000, 0.5000)  4 Hg 2.84, 8 Pd 2.88
Pd (0.5000, 0.5000, 0.0000)  8 Pd 2.72, 4 Al 2.84
Pd (0.0000, 0.5000, 0.6279)  8 Pd 2.84-2.89, 4 Hg 2.88
Pd (0.5000, 0.0000, 0.8857)  2 Al 2.72, 8 Pd 2.72-2.89, 2 Hg 2.90
Al (0.0000, 0.0000, 0.0000)  12 Pd 2.72-2.84
Hg (0.0000, 0.0000, 0.5000)  12 Pd 2.84-2.88
Hg (0.0000, 0.0000, 0.7559)  12 Pd 2.84-2.90
Hg (0.0000, 0.0000, 0.2441)  12 Pd 2.84-2.90

[3]
DFT (PBE-GGA) results for a relaxed Pm2Ho5Tm6 crystal.

Calculated values
Formation enthalpy at 0 K ... 0.102 eV/atom
Volume ... 31.621 A^3/atom

a b c (Å): 3.5457 11.5775 20.0281
angles (deg): 90.00 90.00 90.00
Closest atoms and distances in Å follow each position.
Atoms (fractional coordinates):
Tm (0.0000, 0.4408, 0.5786)  6 Ho 3.42-3.53, 5 Tm 3.44-3.66, 1 Pm 3.78
Tm (0.5000, 0.6779, 0.8717)  2 Ho 3.27-3.29, 6 Tm 3.47-3.66, 2 Pm 3.61
Tm (0.0000, 0.9408, 0.9214)  6 Ho 3.42-3.53, 5 Tm 3.44-3.66, 1 Pm 3.78
Tm (0.0000, 0.4201, 0.8667)  6 Ho 3.34-3.53, 1 Pm 3.35, 4 Tm 3.47-3.55
Tm (0.5000, 0.8221, 0.3717)  2 Ho 3.27-3.29, 6 Tm 3.47-3.66, 2 Pm 3.61
Tm (0.5000, 0.1779, 0.6283)  2 Ho 3.27-3.29, 6 Tm 3.47-3.66, 2 Pm 3.61
Tm (0.0000, 0.0592, 0.0786)  6 Ho 3.42-3.53, 5 Tm 3.44-3.66, 1 Pm 3.78
Tm (0.0000, 0.5799, 0.1333)  6 Ho 3.34-3.53, 1 Pm 3.35, 4 Tm 3.47-3.55
Tm (0.0000, 0.5592, 0.4214)  6 Ho 3.42-3.53, 5 Tm 3.44-3.66, 1 Pm 3.78
Tm (0.0000, 0.0799, 0.3667)  6 Ho 3.34-3.53, 1 Pm 3.35, 4 Tm 3.47-3.55
Tm (0.5000, 0.3221, 0.1283)  2 Ho 3.27-3.29, 6 Tm 3.47-3.66, 2 Pm 3.61
Tm (0.0000, 0.9201, 0.6333)  6 Ho 3.34-3.53, 1 Pm 3.35, 4 Tm 3.47-3.55
Ho (0.5000, 0.5924, 0.2767)  5 Tm 3.27-3.42, 4 Pm 3.49-3.53, 2 Ho 3.55
Ho (0.5000, 0.0000, 0.5000)  6 Tm 3.29-3.34, 4 Ho 3.55-3.62
Ho (0.5000, 0.1995, 0.9497)  7 Tm 3.53-3.85, 3 Ho 3.55-3.62, 2 Pm 3.76
Ho (0.5000, 0.5000, 0.0000)  6 Tm 3.29-3.34, 4 Ho 3.55-3.62
Ho (0.5000, 0.9076, 0.7767)  5 Tm 3.27-3.42, 4 Pm 3.49-3.53, 2 Ho 3.55
Ho (0.5000, 0.8005, 0.0503)  7 Tm 3.53-3.85, 3 Ho 3.55-3.62, 2 Pm 3.76
Ho (0.5000, 0.3005, 0.4497)  7 Tm 3.53-3.85, 3 Ho 3.55-3.62, 2 Pm 3.76
Ho (0.5000, 0.4076, 0.7233)  5 Tm 3.27-3.42, 4 Pm 3.49-3.53, 2 Ho 3.55
Ho (0.5000, 0.0924, 0.2233)  5 Tm 3.27-3.42, 4 Pm 3.49-3.53, 2 Ho 3.55
Ho (0.5000, 0.6995, 0.5503)  7 Tm 3.53-3.85, 3 Ho 3.55-3.62, 2 Pm 3.76
Pm (0.0000, 0.3331, 0.2854)  3 Tm 3.35-3.61, 4 Ho 3.49-3.53, 2 Pm 3.55
Pm (0.0000, 0.1669, 0.7854)  3 Tm 3.35-3.61, 4 Ho 3.49-3.53, 2 Pm 3.55
Pm (0.0000, 0.6669, 0.7146)  3 Tm 3.35-3.61, 4 Ho 3.49-3.53, 2 Pm 3.55
Pm (0.0000, 0.8331, 0.2146)  3 Tm 3.35-3.61, 4 Ho 3.49-3.53, 2 Pm 3.55

[4]
DFT (PBE-GGA) results for a relaxed BaTlO2 crystal.

Calculated values
Volume ... 19.470 A^3/atom
Energy above the most stable polymorph in this dataset ... 0.0000 eV per atom

a b c (Å): 3.7537 6.5274 12.7141
angles (deg): 90.00 90.00 90.00
Closest atoms and distances in Å follow each position.
Atoms (fractional coordinates):
Tl (0.2500, 0.6096, 0.1077)  4 O 2.41-2.47
Tl (0.7500, 0.3904, 0.8923)  4 O 2.41-2.47
Tl (0.2500, 0.1096, 0.3923)  4 O 2.41-2.47
Tl (0.7500, 0.8904, 0.6077)  4 O 2.41-2.47
O (0.2500, 0.2469, 0.9901)  2 Tl 2.44
O (0.7500, 0.7531, 0.0099)  2 Tl 2.44
O (0.2500, 0.3576, 0.2522)  2 Tl 2.41-2.47
O (0.7500, 0.2531, 0.4901)  2 Tl 2.44
O (0.2500, 0.8576, 0.2478)  2 Tl 2.41-2.47
O (0.7500, 0.1424, 0.7522)  2 Tl 2.41-2.47
O (0.7500, 0.6424, 0.7478)  2 Tl 2.41-2.47
O (0.2500, 0.7469, 0.5099)  2 Tl 2.44
Ba (0.7500, 0.6074, 0.3565)  7 O 2.82-2.87
Ba (0.7500, 0.1074, 0.1435)  7 O 2.82-2.87
Ba (0.2500, 0.3926, 0.6435)  7 O 2.82-2.87
Ba (0.2500, 0.8926, 0.8565)  7 O 2.82-2.87

[5]
DFT (PBE-GGA) results for a relaxed TiTe3F crystal.

Calculated values
Volume ... 23.502 A^3/atom
Energy above the most stable polymorph in this dataset ... 0.4815 eV per atom

a b c (Å): 4.8980 4.8980 4.8980
angles (deg): 90.00 90.00 90.00
Closest atoms and distances in Å follow each position.
Atoms (fractional coordinates):
Ti (0.5000, 0.5000, 0.5000)  12 Te 3.46
F (0.0000, 0.0000, 0.0000)  6 Te 2.45
Te (0.0000, 0.0000, 0.5000)  2 F 2.45
Te (0.5000, 0.0000, 0.0000)  2 F 2.45
Te (0.0000, 0.5000, 0.0000)  2 F 2.45

[6]
DFT (PBE-GGA) results for a relaxed LiTcAg4 crystal.

Calculated values
Formation enthalpy at 0 K ... 0.501 eV/atom
Volume ... 18.902 A^3/atom

a b c (Å): 5.4332 5.4332 5.4332
angles (deg): 60.00 60.00 60.00
Closest atoms and distances in Å follow each position.
Atoms (fractional coordinates):
Tc (0.0000, 0.0000, 0.0000)  12 Ag 3.19, 4 Li 3.33
Ag (0.3750, 0.3750, 0.8749)  6 Ag 2.72
Ag (0.3750, 0.8749, 0.3750)  6 Ag 2.72
Ag (0.3750, 0.3750, 0.3750)  6 Ag 2.72
Ag (0.8749, 0.3750, 0.3750)  6 Ag 2.72
Li (0.7500, 0.7500, 0.7500)  12 Ag 3.19, 4 Tc 3.33

[7]
DFT (PBE-GGA) results for a relaxed Pr4HgPt crystal.

Calculated values
Formation enthalpy at 0 K ... -0.573 eV/atom
Volume ... 30.032 A^3/atom
Energy above the most stable polymorph in this dataset ... 0.0000 eV per atom

a b c (Å): 10.0640 10.0640 10.0640
angles (deg): 60.00 60.00 60.00
Closest atoms and distances in Å follow each position.
Atoms (fractional coordinates):
Pr (0.9422, 0.5578, 0.9422)  2 Pt 2.97
Pr (0.3975, 0.3975, 0.8074)  3 Pt 2.97
Pr (0.9422, 0.9422, 0.5578)  2 Pt 2.97
Pr (0.9422, 0.5578, 0.5578)  2 Pt 2.97
Pr (0.8074, 0.3975, 0.3975)  3 Pt 2.97
Pr (0.3975, 0.3975, 0.3975)  3 Pt 2.97
Pr (0.8130, 0.1870, 0.8130)  2 Hg 3.34, 2 Pr 3.64, 2 Pt 3.64
Pr (0.5578, 0.9422, 0.9422)  2 Pt 2.97
Pr (0.3975, 0.8074, 0.3975)  3 Pt 2.97
Pr (0.1870, 0.8130, 0.8130)  2 Hg 3.34, 2 Pr 3.64, 2 Pt 3.64
Pr (0.5578, 0.9422, 0.5578)  2 Pt 2.97
Pr (0.5578, 0.5578, 0.9422)  2 Pt 2.97
Pr (0.1870, 0.1870, 0.8130)  2 Hg 3.34, 2 Pr 3.64, 2 Pt 3.64
Pr (0.1870, 0.8130, 0.1870)  2 Hg 3.34, 2 Pr 3.64, 2 Pt 3.64
Pr (0.8130, 0.1870, 0.1870)  2 Hg 3.34, 2 Pr 3.64, 2 Pt 3.64
Pr (0.8130, 0.8130, 0.1870)  2 Hg 3.34, 2 Pr 3.64, 2 Pt 3.64
Hg (0.5041, 0.1653, 0.1653)  9 Pr 3.34-3.60, 3 Hg 3.41
Hg (0.1653, 0.1653, 0.5041)  9 Pr 3.34-3.60, 3 Hg 3.41
Hg (0.1653, 0.1653, 0.1653)  9 Pr 3.34-3.60, 3 Hg 3.41
Hg (0.1653, 0.5041, 0.1653)  9 Pr 3.34-3.60, 3 Hg 3.41
Pt (0.6063, 0.6063, 0.6063)  6 Pr 2.97
Pt (0.6063, 0.6063, 0.1811)  6 Pr 2.97
Pt (0.1811, 0.6063, 0.6063)  6 Pr 2.97
Pt (0.6063, 0.1811, 0.6063)  6 Pr 2.97

[8]
DFT (PBE-GGA) results for a relaxed FeCuTeAsOs crystal.

Calculated values
Volume ... 17.959 A^3/atom
Energy above the most stable polymorph in this dataset ... 0.1835 eV per atom

a b c (Å): 7.2283 3.8867 7.0784
angles (deg): 90.00 115.44 90.00
Closest atoms and distances in Å follow each position.
Atoms (fractional coordinates):
Cu (0.9742, 0.5000, 0.8594)  1 As 2.46, 1 Fe 2.59, 2 Te 2.67
Cu (0.9742, 0.0000, 0.3594)  1 As 2.46, 1 Fe 2.59, 2 Te 2.67
Te (0.7524, 0.0000, 0.6054)  1 Fe 2.58, 3 Cu 2.67-2.83, 3 Os 2.74-2.76
Te (0.7524, 0.5000, 0.1054)  1 Fe 2.58, 3 Cu 2.67-2.83, 3 Os 2.74-2.76
Os (0.5211, 0.0000, 0.1804)  3 Fe 2.51-2.56, 3 Te 2.74-2.76, 2 As 2.79
Os (0.5211, 0.5000, 0.6804)  3 Fe 2.51-2.56, 3 Te 2.74-2.76, 2 As 2.79
As (0.2581, 0.0000, 0.7119)  3 Fe 2.39-2.40, 1 Cu 2.46
As (0.2581, 0.5000, 0.2119)  3 Fe 2.39-2.40, 1 Cu 2.46
Fe (0.3568, 0.0000, 0.4286)  3 As 2.39-2.40, 3 Os 2.51-2.56, 1 Te 2.58, 1 Cu 2.59
Fe (0.3568, 0.5000, 0.9286)  3 As 2.39-2.40, 3 Os 2.51-2.56, 1 Te 2.58, 1 Cu 2.59